This record from Alexandria describes a relaxed MnTlSe2 crystal. The functional is PBE.

Properties
Uncorrected formation energy ... -0.35 eV per atom
Total energy ... -4.98 eV per atom
DOS(E_F) ... 0.28 states/eV/f.u.

abc: 4.4322 3.5395 7.2607
angles: 90.00 97.75 90.00
With the nearest neighbours (Å) after each atom.
Space group P2/m (No. 10)
Inequivalent atoms, fractional coordinates:
Mn (0.0000, 0.0000, 0.0000) x1  4 Se 2.45
Tl (0.5000, 0.0000, 0.5000) x1  8 Se 3.44-3.46, 2 Tl 3.54
Se (0.0567, 0.5000, 0.7738) x2  2 Mn 2.45